Run one
Material: RhC2Br
Method: DFT, GGA-PBE
State: optimized geometry

abc: 5.4221 5.4221 9.0579
angles: 90.00 90.00 90.00
With the nearest neighbours (Å) after each atom.
Space group I-42d (No. 122)
Asymmetric unit:
1 Rh 0.0000 0.0000 0.0000 x4  4 C 1.92
2 C 0.1407 0.2500 0.1250 x8  2 Rh 1.92
3 Br 0.0000 0.0000 0.5000 x4  4 C 2.63

=====

Run two
Material: RhC2Br
Method: DFT, GGA-PBE
State: optimized geometry

abc: 5.7492 5.7492 5.7492
angles: 90.00 90.00 90.00
With the nearest neighbours (Å) after each atom.
Space group Fm-3m (No. 225)
Asymmetric unit:
1 Rh 0.0000 0.0000 0.0000 x4  8 C 2.49
2 C 0.2500 0.2500 0.2500 x8  4 Br 2.49, 4 Rh 2.49
3 Br 0.0000 0.0000 0.5000 x4  8 C 2.49

=====

Energy above the most stable structure, in meV/atom: run one 0; run two 1153

=====

Run one
Material: Rh2CBr
Method: DFT, GGA-PBE
State: optimized geometry

abc: 5.1478 5.1478 10.3343
angles: 90.00 90.00 90.00
With the nearest neighbours (Å) after each atom.
Space group I-42d (No. 122)
Asymmetric unit:
1 Rh 0.1454 0.2500 0.1250 x8  2 C 1.97
2 C 0.0000 0.0000 0.0000 x4  4 Rh 1.97
3 Br 0.0000 0.0000 0.5000 x4  4 Rh 2.58

=====

Run two
Material: Rh2CBr
Method: DFT, GGA-PBE
State: optimized geometry

abc: 6.0282 6.0282 6.0282
angles: 90.00 90.00 90.00
With the nearest neighbours (Å) after each atom.
Space group Fm-3m (No. 225)
Asymmetric unit:
1 Rh 0.2500 0.2500 0.2500 x8  4 C 2.61, 4 Br 2.61
2 C 0.0000 0.0000 0.0000 x4  8 Rh 2.61
3 Br 0.0000 0.0000 0.5000 x4  8 Rh 2.61

=====

Energy above the most stable structure, in meV/atom: run one 0; run two 998